Compound: TlBi2Pd4Pb
Source: Alexandria via LeMat-Bulk
Functional: PBE
Structure: optimized geometry

As for the spin magnetization: 0.000 μB per cell. The formation energy from the elements is -91 meV/atom.

It has space group Imma (No. 74), with a = 6.837 Å, b = 9.212 Å, c = 11.484 Å, α = 90.00°, β = 90.00° and γ = 90.00°. Symmetry generates all atoms from Tl at (0.250, 0.250, 0.250), Bi at (0.000, 0.000, 0.000), Bi at (0.250, 0.250, 0.750), Pd at (0.000, 0.007, 0.249), Pd at (0.241, 0.250, 0.495) and Pb at (0.000, 0.000, 0.500).